[1]
Entry from Alexandria via LeMat-Bulk: a geometry-optimized TiBiWCl2 structure (GGA-PBEsol).

Values from the calculation:
- uncorrected formation energy (kJ/mol of formula units) = 284
- mass density (kg/m3) = 6953
- volume (A^3/atom) = 24.437
- space group = No. 123

Lattice parameters (Å, degrees): 4.504 4.504 6.022 90.00 90.00 90.00
Atoms (fractional coordinates):
Ti 0.000 0.000 0.000
Bi 0.500 0.500 0.000
W 0.500 0.500 0.500
Cl 0.000 0.500 0.500
Cl 0.500 0.000 0.500


[2]
Entry from Alexandria via LeMat-Bulk: a geometry-optimized Tl3BiCl6 structure (GGA-PBEsol).

Values from the calculation:
- uncorrected formation energy (kJ/mol of formula units) = -935
- mass density (kg/m3) = 5988
- volume (A^3/atom) = 28.696
- space group = No. 84

Lattice parameters (Å, degrees): 8.836 8.836 7.351 90.00 90.00 90.00
Atoms (fractional coordinates):
Tl 0.000 0.000 0.000
Tl 0.000 0.000 0.500
Tl 0.230 0.427 0.000
Tl 0.427 0.770 0.500
Tl 0.573 0.230 0.500
Tl 0.770 0.573 0.000
Bi 0.000 0.500 0.500
Bi 0.500 0.000 0.000
Cl 0.062 0.707 0.241
Cl 0.062 0.707 0.759
Cl 0.293 0.062 0.259
Cl 0.293 0.062 0.741
Cl 0.299 0.440 0.500
Cl 0.440 0.701 0.000
Cl 0.560 0.299 0.000
Cl 0.701 0.560 0.500
Cl 0.707 0.938 0.259
Cl 0.707 0.938 0.741
Cl 0.938 0.293 0.241
Cl 0.938 0.293 0.759


[3]
Entry from Alexandria via LeMat-Bulk: a geometry-optimized TlBi2Cl7 structure (GGA-PBEsol).

Values from the calculation:
- uncorrected formation energy (kJ/mol of formula units) = -945
- mass density (kg/m3) = 5074
- volume (A^3/atom) = 28.487
- space group = No. 2

Lattice parameters (Å, degrees): 6.980 8.585 10.648 75.24 72.14 72.45
Atoms (fractional coordinates):
Tl 0.043 0.165 0.122
Tl 0.957 0.835 0.878
Bi 0.323 0.623 0.169
Bi 0.416 0.254 0.538
Bi 0.584 0.746 0.462
Bi 0.677 0.377 0.831
Cl 0.083 0.255 0.794
Cl 0.175 0.356 0.368
Cl 0.262 0.476 0.991
Cl 0.287 0.854 0.317
Cl 0.302 0.950 0.619
Cl 0.332 0.874 0.973
Cl 0.358 0.546 0.650
Cl 0.642 0.454 0.350
Cl 0.668 0.126 0.027
Cl 0.698 0.050 0.381
Cl 0.713 0.146 0.683
Cl 0.738 0.524 0.009
Cl 0.825 0.644 0.632
Cl 0.917 0.745 0.206


[4]
Entry from Alexandria via LeMat-Bulk: a geometry-optimized Bi3WCl structure (GGA-PBEsol).

Values from the calculation:
- uncorrected formation energy (kJ/mol of formula units) = 220
- mass density (kg/m3) = 9363
- volume (A^3/atom) = 30.016
- space group = No. 221

Lattice parameters (Å, degrees): 5.314 5.314 5.314 90.00 90.00 90.00
Atoms (fractional coordinates):
Bi 0.000 0.000 0.500
Bi 0.000 0.500 0.000
Bi 0.500 0.000 0.000
W 0.000 0.000 0.000
Cl 0.500 0.500 0.500


[5]
Entry from Alexandria via LeMat-Bulk: a geometry-optimized CrCoBi2 structure (GGA-PBEsol).

Values from the calculation:
- mass density (kg/m3) = 11107
- formation energy from the elements (eV per formula unit) = 2.29
- volume (A^3/atom) = 19.767
- space group = No. 225

Lattice parameters (Å, degrees): 4.818 4.818 4.818 60.00 60.00 60.00
Atoms (fractional coordinates):
Cr 0.000 0.000 0.000
Co 0.500 0.500 0.500
Bi 0.250 0.250 0.250
Bi 0.750 0.750 0.750


[6]
Entry from Alexandria via LeMat-Bulk: a geometry-optimized CoCu2BiPb structure (GGA-PBEsol).

Values from the calculation:
- mass density (kg/m3) = 7052
- formation energy from the elements (eV per formula unit) = 7.20
- volume (A^3/atom) = 28.360
- space group = No. 123

Lattice parameters (Å, degrees): 4.765 4.765 6.246 90.00 90.00 90.00
Atoms (fractional coordinates):
Co 0.000 0.000 0.000
Cu 0.000 0.500 0.500
Cu 0.500 0.000 0.500
Bi 0.500 0.500 0.500
Pb 0.500 0.500 0.000


Copy entry 2 word for word.
Entry from Alexandria via LeMat-Bulk: a geometry-optimized Tl3BiCl6 structure (GGA-PBEsol).

Values from the calculation:
- uncorrected formation energy (kJ/mol of formula units) = -935
- mass density (kg/m3) = 5988
- volume (A^3/atom) = 28.696
- space group = No. 84

Lattice parameters (Å, degrees): 8.836 8.836 7.351 90.00 90.00 90.00
Atoms (fractional coordinates):
Tl 0.000 0.000 0.000
Tl 0.000 0.000 0.500
Tl 0.230 0.427 0.000
Tl 0.427 0.770 0.500
Tl 0.573 0.230 0.500
Tl 0.770 0.573 0.000
Bi 0.000 0.500 0.500
Bi 0.500 0.000 0.000
Cl 0.062 0.707 0.241
Cl 0.062 0.707 0.759
Cl 0.293 0.062 0.259
Cl 0.293 0.062 0.741
Cl 0.299 0.440 0.500
Cl 0.440 0.701 0.000
Cl 0.560 0.299 0.000
Cl 0.701 0.560 0.500
Cl 0.707 0.938 0.259
Cl 0.707 0.938 0.741
Cl 0.938 0.293 0.241
Cl 0.938 0.293 0.759


- What is the mass density in the sixth record?
  7052 kg/m3